Record 1
Here is an optimized crystal structure of Y2Ag2Ge from Alexandria. Energies are from GGA-PBE.

## Properties
Space group ... P4/mbm, No. 127
DOS(E_F) ... 9.11 states/eV per cell
Crystal system ... tetragonal
VASP energy ... -49.8 eV/cell

Cell and atoms, written as CIF:
```
data_Y2Ag2Ge
_cell_length_a 7.473
_cell_length_b 7.473
_cell_length_c 4.139
_cell_angle_alpha 90.00
_cell_angle_beta 90.00
_cell_angle_gamma 90.00
_space_group_name_H-M_alt 'P 1'
_space_group_IT_number 1
loop_
_space_group_symop_operation_xyz
'x,y,z'
loop_
_atom_site_label
_atom_site_type_symbol
_atom_site_fract_x
_atom_site_fract_y
_atom_site_fract_z
_atom_site_occupancy
Y1 Y 0.175 0.325 0.000 1
Y2 Y 0.325 0.825 0.000 1
Y3 Y 0.675 0.175 0.000 1
Y4 Y 0.825 0.675 0.000 1
Ag1 Ag 0.129 0.629 0.500 1
Ag2 Ag 0.371 0.129 0.500 1
Ag3 Ag 0.629 0.871 0.500 1
Ag4 Ag 0.871 0.371 0.500 1
Ge1 Ge 0.000 0.000 0.500 1
Ge2 Ge 0.500 0.500 0.500 1
```

Record 2
Here is an optimized crystal structure of ZnCrTe from Alexandria. Energies are from GGA-PBE.

## Properties
Space group ... C2/m, No. 12
DOS(E_F) ... 4.23 states/eV per cell
ΔE_f (raw) ... 48 kJ/mol of formula units
Crystal system ... monoclinic
VASP energy ... -27.1 eV/cell

Cell and atoms, written as CIF:
```
data_ZnCrTe
_cell_length_a 5.014
_cell_length_b 5.014
_cell_length_c 8.294
_cell_angle_alpha 109.63
_cell_angle_beta 109.63
_cell_angle_gamma 52.64
_space_group_name_H-M_alt 'P 1'
_space_group_IT_number 1
loop_
_space_group_symop_operation_xyz
'x,y,z'
loop_
_atom_site_label
_atom_site_type_symbol
_atom_site_fract_x
_atom_site_fract_y
_atom_site_fract_z
_atom_site_occupancy
Zn1 Zn 0.192 0.192 0.021 1
Zn2 Zn 0.808 0.808 0.979 1
Cr1 Cr 0.493 0.493 0.885 1
Cr2 Cr 0.507 0.507 0.115 1
Te1 Te 0.083 0.083 0.295 1
Te2 Te 0.917 0.917 0.705 1
```

Respective M_tot values: 0.000, 0.182 μB per atom.